KHf2TiV | PBE | optimized geometry

Unit cell a=4.910 b=4.910 c=5.389 alpha=90.00 beta=90.00 gamma=90.00
Space group P4/mmm (No. 123)
One atom of each set of equivalent atoms:
K (0.000, 0.000, 0.000) [1 per cell]
Hf (0.000, 0.500, 0.500) [2 per cell]
Ti (0.500, 0.500, 0.000) [1 per cell]
V (0.000, 0.000, 0.500) [1 per cell]

## Properties
- Energy of formation from the pure elements: 33.2 kcal/mol of atoms
- V: 129.94 Å³ per cell
- Mass density: 6.32 g/cm³